DFT (GGA-PBE) results for a relaxed SrScAgTe3 crystal.

Summary:
E_tot (eV/cell): -54.00

Cell: 8.331 4.268 10.363 Å, 90.00 106.48 90.00°
Space group P2_1/m (No. 11)
Inequivalent atoms, fractional coordinates:
Sr 0.233 0.250 0.283 [2 per cell]
Sc 0.314 0.750 0.834 [2 per cell]
Ag 0.083 0.250 0.594 [2 per cell]
Te 0.080 0.250 0.861 [2 per cell]
Te 0.288 0.750 0.544 [2 per cell]
Te 0.431 0.750 0.133 [2 per cell]

DFT (GGA-PBE) results for a relaxed SmTlSn crystal.

Summary:
Excess energy over the best structure of this formula in the dataset (meV per atom): 0.0

Cell: 7.362 7.362 7.362 Å, 90.00 90.00 90.00°
Space group F-43m (No. 216)
Inequivalent atoms, fractional coordinates:
Sm 0.000 0.000 0.000 [4 per cell]
Tl 0.250 0.250 0.250 [4 per cell]
Sn 0.250 0.250 0.750 [4 per cell]

DFT (GGA-PBE) results for a relaxed Al2CoCu5 crystal.

Summary:
Excess energy over the best structure of this formula in the dataset (meV per atom): 6.5

Cell: 5.668 5.668 11.962 Å, 90.00 90.00 90.00°
Space group I4_1/amd (No. 141, origin choice 2)
Inequivalent atoms, fractional coordinates:
Al 0.000 0.250 0.123 [8 per cell]
Co 0.000 0.250 0.875 [4 per cell]
Cu 0.000 0.250 0.375 [4 per cell]
Cu 0.250 0.000 0.000 [16 per cell]

DFT (GGA-PBE) results for a relaxed La2Re2O5 crystal.

Summary:
E_tot (eV/cell): -71.47

Cell: 3.551 3.551 10.026 Å, 90.00 90.00 90.00°
Space group P4/mmm (No. 123)
Inequivalent atoms, fractional coordinates:
La 0.000 0.000 0.232 [2 per cell]
Re 0.500 0.500 0.000 [1 per cell]
Re 0.500 0.500 0.500 [1 per cell]
O 0.000 0.000 0.000 [1 per cell]
O 0.000 0.500 0.387 [4 per cell]

DFT (GGA-PBE) results for a relaxed MoIrOs6 crystal.

Summary:
ΔE_f (eV/atom): -0.050

Cell: 5.5212 5.5212 4.3682 Å, 90.00 90.00 120.00°
Space group P-6m2 (No. 187)
Inequivalent atoms, fractional coordinates:
Mo 0.0000 0.0000 0.0000 [1 per cell]
Ir 0.6667 0.3333 0.5000 [1 per cell]
Os 0.1694 0.3389 0.5000 [3 per cell]
Os 0.5021 0.0042 0.0000 [3 per cell]

DFT (GGA-PBE) results for a relaxed NdAg2ClO2 crystal.

Summary:
E_tot (eV/cell): -61.23

Cell: 4.582 4.509 10.244 Å, 90.00 90.05 90.00°
Space group P2_1/m (No. 11)
Inequivalent atoms, fractional coordinates:
Nd 0.244 0.250 0.302 [2 per cell]
Ag 0.245 0.750 0.007 [2 per cell]
Ag 0.257 0.250 0.830 [2 per cell]
Cl 0.251 0.750 0.511 [2 per cell]
O 0.243 0.750 0.220 [2 per cell]
O 0.254 0.750 0.797 [2 per cell]

Magnetization values (in Bohr magnetons per cell) by entry order: 0.0, 0.0, 0.1, 1.3, 0.0, 0.0.